*a*
Here is MgAsSe2Cl after structural relaxation from the Alexandria database. Energies are from PBE.

a b c (Å): 4.903 4.903 5.377
angles (deg): 90.00 90.00 90.00
Space group P4/mmm (No. 123)
Asymmetric unit:
Mg 0.000 0.000 0.000 x1
As 0.000 0.000 0.500 x1
Se 0.000 0.500 0.000 x2
Cl 0.500 0.500 0.500 x1

Calculated volume: 129.2 Å³ per cell
Crystal system: tetragonal

*b*
Here is MgAsSe2Cl after structural relaxation from the Alexandria database. Energies are from PBE.

a b c (Å): 5.237 5.237 4.651
angles (deg): 90.00 90.00 90.00
Space group P4/mmm (No. 123)
Asymmetric unit:
Mg 0.000 0.000 0.000 x1
As 0.500 0.500 0.000 x1
Se 0.000 0.500 0.500 x2
Cl 0.500 0.500 0.500 x1

Calculated volume: 127.5 Å³ per cell
Crystal system: tetragonal

The structure with the least stability is *b*.

*a*
Here is MgAs2SeCl after structural relaxation from the Alexandria database. Energies are from PBE.

a b c (Å): 4.852 4.852 5.237
angles (deg): 90.00 90.00 90.00
Space group P4/mmm (No. 123)
Asymmetric unit:
Mg 0.000 0.000 0.000 x1
As 0.000 0.500 0.500 x2
Se 0.500 0.500 0.000 x1
Cl 0.500 0.500 0.500 x1

Calculated volume: 123.3 Å³ per cell
Crystal system: tetragonal

*b*
Here is MgAs2SeCl after structural relaxation from the Alexandria database. Energies are from PBE.

a b c (Å): 5.117 5.117 4.867
angles (deg): 90.00 90.00 90.00
Space group P4/mmm (No. 123)
Asymmetric unit:
Mg 0.000 0.000 0.000 x1
As 0.000 0.500 0.000 x2
Se 0.000 0.000 0.500 x1
Cl 0.500 0.500 0.500 x1

Calculated volume: 127.4 Å³ per cell
Crystal system: tetragonal

The structure with the least stability is *a*.

*a*
Here is MnAs2Cl after structural relaxation from the Alexandria database. Energies are from PBE.

a b c (Å): 3.676 3.676 12.287
angles (deg): 90.00 90.00 90.00
Space group I4/mmm (No. 139)
Asymmetric unit:
Mn 0.000 0.000 0.000 x2
As 0.000 0.500 0.250 x4
Cl 0.000 0.000 0.500 x2

Calculated volume: 166.0 Å³ per cell
Crystal system: tetragonal

*b*
Here is MnAs2Cl after structural relaxation from the Alexandria database. Energies are from PBE.

a b c (Å): 3.050 4.373 11.773
angles (deg): 90.00 90.00 90.00
Space group Immm (No. 71)
Asymmetric unit:
Mn 0.000 0.000 0.000 x2
As 0.000 0.500 0.293 x4
Cl 0.000 0.000 0.500 x2

Calculated volume: 157.0 Å³ per cell
Crystal system: orthorhombic

*c*
Here is MnAs2Cl after structural relaxation from the Alexandria database. Energies are from PBE.

a b c (Å): 3.585 5.816 8.928
angles (deg): 90.00 90.00 90.00
Space group Cmm2 (No. 35)
Asymmetric unit:
Mn 0.000 0.000 0.000 x2
As 0.000 0.000 0.588 x2
As 0.000 0.500 0.785 x2
Cl 0.000 0.500 0.179 x2

Calculated volume: 186.1 Å³ per cell
Crystal system: orthorhombic

The structure with the least stability is *a*.